# La2VO6

Crystalline La2VO6 at its relaxed geometry (GGA+U, Alexandria via LeMat-Bulk).

Size of the total moment in μB per cell: 2.1
Energy in eV per atom: -7.85

abc: 5.5523 6.3325 7.5469
angles: 90.00 96.55 90.00
Last column: magnetic moment on the atom in μB.
Positions (direct):
V  0.0000  0.0000  0.5000  -0.12
V  0.5000  0.5000  0.0000  -0.12
La  0.4614  0.0963  0.2510  0.00
La  0.5386  0.9037  0.7490  0.00
La  0.9614  0.4037  0.7510  0.00
La  0.0386  0.5963  0.2490  0.00
O  0.2135  0.3580  0.0494  0.04
O  0.3673  0.7651  0.0671  0.25
O  0.3657  0.5497  0.7662  0.19
O  0.2865  0.8580  0.4506  0.04
O  0.1343  0.0497  0.7338  0.19
O  0.6343  0.4503  0.2338  0.19
O  0.8657  0.9503  0.2662  0.19
O  0.7865  0.6420  0.9506  0.04
O  0.8673  0.7349  0.5671  0.25
O  0.7135  0.1420  0.5494  0.04
O  0.1327  0.2651  0.4329  0.25
O  0.6327  0.2349  0.9329  0.25